1.
# LiIrRh2C, relaxed, DFT PBE
data_LiIrRh2C
_space_group_name_H-M_alt 'P 4/m m m'
_space_group_IT_number 123
_space_group_name_Hall '-P 4 2'
_cell_length_a 4.057
_cell_length_b 4.057
_cell_length_c 4.014
_cell_angle_alpha 90.00
_cell_angle_beta 90.00
_cell_angle_gamma 90.00
loop_
_atom_site_label
_atom_site_fract_x
_atom_site_fract_y
_atom_site_fract_z
Li1 0.000 0.000 0.000
Ir1 0.500 0.500 0.000
Rh1 0.000 0.500 0.500
C1 0.500 0.500 0.500
# DFT total energy = -6.920 eV/atom
# M_tot = 0.000 μB/atom

2.
# Mn2CdSi, relaxed, DFT PBE
data_Mn2CdSi
_space_group_name_H-M_alt 'P 4 m m'
_space_group_IT_number 99
_cell_length_a 2.779
_cell_length_b 2.779
_cell_length_c 7.574
_cell_angle_alpha 90.00
_cell_angle_beta 90.00
_cell_angle_gamma 90.00
loop_
_space_group_symop_operation_xyz
'x,y,z'
'-y,x,z'
'-x,-y,z'
'y,-x,z'
'-x,y,z'
'y,x,z'
'x,-y,z'
'-y,-x,z'
loop_
_atom_site_label
_atom_site_fract_x
_atom_site_fract_y
_atom_site_fract_z
Mn1 0.000 0.000 0.000
Mn2 0.500 0.500 0.196
Cd1 0.500 0.500 0.712
Si1 0.000 0.000 0.390
# DFT total energy = -6.004 eV/atom
# M_tot = 0.431 μB/atom

3.
# BeTl2Ag, relaxed, DFT PBE
data_BeTl2Ag
_space_group_name_H-M_alt 'I -4 2 d'
_space_group_IT_number 122
_space_group_name_Hall 'I -4 2bw'
_cell_length_a 9.151
_cell_length_b 9.151
_cell_length_c 4.766
_cell_angle_alpha 90.00
_cell_angle_beta 90.00
_cell_angle_gamma 90.00
loop_
_atom_site_label
_atom_site_fract_x
_atom_site_fract_y
_atom_site_fract_z
Be1 0.000 0.000 0.000
Tl1 0.094 0.250 0.125
Ag1 0.000 0.000 0.500
# DFT total energy = -2.423 eV/atom
# M_tot = 0.000 μB/atom

4.
# Rb2ScGaF6, relaxed, DFT PBE
data_Rb2ScGaF6
_space_group_name_H-M_alt 'F m -3 m'
_space_group_IT_number 225
_space_group_name_Hall '-F 4 2 3'
_cell_length_a 9.093
_cell_length_b 9.093
_cell_length_c 9.093
_cell_angle_alpha 90.00
_cell_angle_beta 90.00
_cell_angle_gamma 90.00
loop_
_atom_site_label
_atom_site_fract_x
_atom_site_fract_y
_atom_site_fract_z
Rb1 0.250 0.250 0.250
Sc1 0.000 0.000 0.000
Ga1 0.000 0.000 0.500
F1 0.000 0.000 0.224
# DFT total energy = -5.296 eV/atom
# M_tot = 0.000 μB/atom

5.
# Ho5Tm4Sc4, relaxed, DFT PBE
data_Ho5Tm4Sc4
_space_group_name_H-M_alt 'I 4/m'
_space_group_IT_number 87
_space_group_name_Hall '-I 4'
_cell_length_a 12.369
_cell_length_b 12.369
_cell_length_c 4.857
_cell_angle_alpha 90.00
_cell_angle_beta 90.00
_cell_angle_gamma 90.00
loop_
_atom_site_label
_atom_site_fract_x
_atom_site_fract_y
_atom_site_fract_z
Ho1 0.000 0.000 0.000
Ho2 0.042 0.807 0.500
Tm1 0.078 0.618 0.000
Sc1 0.155 0.232 0.000
# DFT total energy = -5.040 eV/atom
# M_tot = 0.000 μB/atom

6.
# YP2S, relaxed, DFT PBE
data_YP2S
_space_group_name_H-M_alt 'I -4 2 d'
_space_group_IT_number 122
_space_group_name_Hall 'I -4 2bw'
_cell_length_a 5.492
_cell_length_b 5.492
_cell_length_c 13.483
_cell_angle_alpha 90.00
_cell_angle_beta 90.00
_cell_angle_gamma 90.00
loop_
_atom_site_label
_atom_site_fract_x
_atom_site_fract_y
_atom_site_fract_z
Y1 0.000 0.000 0.000
P1 0.188 0.250 0.625
S1 0.000 0.000 0.500
# DFT total energy = -5.365 eV/atom
# M_tot = 0.000 μB/atom

7.
# Cs5K4Na2, relaxed, DFT PBE
data_Cs5K4Na2
_space_group_name_H-M_alt 'P 1 2/m 1'
_space_group_IT_number 10
_cell_length_a 12.342
_cell_length_b 5.098
_cell_length_c 14.878
_cell_angle_alpha 90.00
_cell_angle_beta 97.34
_cell_angle_gamma 90.00
loop_
_space_group_symop_operation_xyz
'x,y,z'
'-x,-y,-z'
'-x,y,-z'
'x,-y,z'
loop_
_atom_site_label
_atom_site_fract_x
_atom_site_fract_y
_atom_site_fract_z
Cs1 0.000 0.000 0.000
Cs2 0.041 0.000 0.341
Cs3 0.351 0.000 0.859
K1 0.312 0.500 0.563
K2 0.313 0.500 0.176
Na1 0.427 0.000 0.381
# DFT total energy = -1.005 eV/atom
# M_tot = 0.000 μB/atom

8.
# LaTbPdPt, relaxed, DFT PBE
data_LaTbPdPt
_space_group_name_H-M_alt 'A m m 2'
_space_group_IT_number 38
_cell_length_a 4.586
_cell_length_b 3.865
_cell_length_c 10.852
_cell_angle_alpha 90.00
_cell_angle_beta 90.00
_cell_angle_gamma 90.00
loop_
_space_group_symop_operation_xyz
'x,y,z'
'-x,-y,z'
'-x,y,z'
'x,-y,z'
'x,y+1/2,z+1/2'
'-x,-y+1/2,z+1/2'
'-x,y+1/2,z+1/2'
'x,-y+1/2,z+1/2'
loop_
_atom_site_label
_atom_site_fract_x
_atom_site_fract_y
_atom_site_fract_z
La1 0.000 0.000 0.000
Tb1 0.500 0.000 0.272
Pd1 0.500 0.000 0.551
Pt1 0.000 0.000 0.728
# DFT total energy = -6.246 eV/atom
# M_tot = 0.000 μB/atom

9.
# GeIrRu3, relaxed, DFT PBE
data_GeIrRu3
_space_group_name_H-M_alt 'P m -3 m'
_space_group_IT_number 221
_space_group_name_Hall '-P 4 2 3'
_cell_length_a 4.710
_cell_length_b 4.710
_cell_length_c 4.710
_cell_angle_alpha 90.00
_cell_angle_beta 90.00
_cell_angle_gamma 90.00
loop_
_atom_site_label
_atom_site_fract_x
_atom_site_fract_y
_atom_site_fract_z
Ge1 0.000 0.000 0.000
Ir1 0.500 0.500 0.500
Ru1 0.000 0.500 0.500
# DFT total energy = -6.574 eV/atom
# M_tot = 0.000 μB/atom

10.
# HfFeRu2, relaxed, DFT PBE
data_HfFeRu2
_space_group_name_H-M_alt 'I -4 2 d'
_space_group_IT_number 122
_space_group_name_Hall 'I -4 2bw'
_cell_length_a 3.909
_cell_length_b 3.909
_cell_length_c 17.472
_cell_angle_alpha 90.00
_cell_angle_beta 90.00
_cell_angle_gamma 90.00
loop_
_atom_site_label
_atom_site_fract_x
_atom_site_fract_y
_atom_site_fract_z
Hf1 0.000 0.000 0.000
Fe1 0.000 0.000 0.500
Ru1 0.194 0.250 0.625
# DFT total energy = -8.872 eV/atom
# M_tot = 0.554 μB/atom

11.
# YSiHg2S, relaxed, DFT PBE
data_YSiHg2S
_space_group_name_H-M_alt 'P 4/m m m'
_space_group_IT_number 123
_space_group_name_Hall '-P 4 2'
_cell_length_a 5.769
_cell_length_b 5.769
_cell_length_c 5.512
_cell_angle_alpha 90.00
_cell_angle_beta 90.00
_cell_angle_gamma 90.00
loop_
_atom_site_label
_atom_site_fract_x
_atom_site_fract_y
_atom_site_fract_z
Y1 0.000 0.000 0.000
Si1 0.000 0.000 0.500
Hg1 0.000 0.500 0.000
S1 0.500 0.500 0.500
# DFT total energy = -2.443 eV/atom
# M_tot = 0.000 μB/atom

12.
# K2Na2S, relaxed, DFT PBE
data_K2Na2S
_space_group_name_H-M_alt 'P 4/m b m'
_space_group_IT_number 127
_space_group_name_Hall '-P 4 2ab'
_cell_length_a 7.670
_cell_length_b 7.670
_cell_length_c 6.189
_cell_angle_alpha 90.00
_cell_angle_beta 90.00
_cell_angle_gamma 90.00
loop_
_atom_site_label
_atom_site_fract_x
_atom_site_fract_y
_atom_site_fract_z
K1 0.195 0.305 0.000
Na1 0.167 0.667 0.500
S1 0.000 0.000 0.500
# DFT total energy = -2.163 eV/atom
# M_tot = 0.000 μB/atom

13.
# Na3U2N4, relaxed, DFT PBE
data_Na3U2N4
_space_group_name_H-M_alt 'C 1 2/m 1'
_space_group_IT_number 12
_cell_length_a 11.886
_cell_length_b 3.815
_cell_length_c 8.762
_cell_angle_alpha 90.00
_cell_angle_beta 126.31
_cell_angle_gamma 90.00
loop_
_space_group_symop_operation_xyz
'x,y,z'
'-x,-y,-z'
'-x,y,-z'
'x,-y,z'
'x+1/2,y+1/2,z'
'-x+1/2,-y+1/2,-z'
'-x+1/2,y+1/2,-z'
'x+1/2,-y+1/2,z'
loop_
_atom_site_label
_atom_site_fract_x
_atom_site_fract_y
_atom_site_fract_z
Na1 0.000 0.000 0.000
Na2 0.205 0.000 0.825
U1 0.102 0.500 0.389
N1 0.070 0.500 0.854
N2 0.203 0.000 0.361
# DFT total energy = -7.318 eV/atom
# M_tot = 0.118 μB/atom

14.
# La2MgSn, relaxed, DFT PBE
data_La2MgSn
_space_group_name_H-M_alt 'R -3 m'
_space_group_IT_number 166
_space_group_name_Hall '-R 3 2"'
_cell_length_a 3.5143
_cell_length_b 3.5143
_cell_length_c 36.6080
_cell_angle_alpha 90.00
_cell_angle_beta 90.00
_cell_angle_gamma 120.00
loop_
_atom_site_label
_atom_site_fract_x
_atom_site_fract_y
_atom_site_fract_z
La1 0.0000 0.0000 0.0901
Mg1 0.0000 0.0000 0.5000
Sn1 0.0000 0.0000 0.0000
# DFT total energy = -3.795 eV/atom
# M_tot = 0.000 μB/atom

15.
# TaCuOs, relaxed, DFT PBE
data_TaCuOs
_space_group_name_H-M_alt 'C m c m'
_space_group_IT_number 63
_space_group_name_Hall '-C 2c 2'
_cell_length_a 4.240
_cell_length_b 8.840
_cell_length_c 4.950
_cell_angle_alpha 90.00
_cell_angle_beta 90.00
_cell_angle_gamma 90.00
loop_
_atom_site_label
_atom_site_fract_x
_atom_site_fract_y
_atom_site_fract_z
Ta1 0.000 0.218 0.250
Cu1 0.000 0.500 0.000
Os1 0.000 0.100 0.750
# DFT total energy = -9.142 eV/atom
# M_tot = 0.000 μB/atom

16.
# YSc2Mo, relaxed, DFT PBE
data_YSc2Mo
_space_group_name_H-M_alt 'F m -3 m'
_space_group_IT_number 225
_space_group_name_Hall '-F 4 2 3'
_cell_length_a 7.047
_cell_length_b 7.047
_cell_length_c 7.047
_cell_angle_alpha 90.00
_cell_angle_beta 90.00
_cell_angle_gamma 90.00
loop_
_atom_site_label
_atom_site_fract_x
_atom_site_fract_y
_atom_site_fract_z
Y1 0.000 0.000 0.000
Sc1 0.250 0.250 0.250
Mo1 0.000 0.000 0.500
# DFT total energy = -7.235 eV/atom
# M_tot = 0.000 μB/atom

17.
# Rb2NiGeBr, relaxed, DFT PBE
data_Rb2NiGeBr
_space_group_name_H-M_alt 'P 4/m m m'
_space_group_IT_number 123
_space_group_name_Hall '-P 4 2'
_cell_length_a 6.652
_cell_length_b 6.652
_cell_length_c 4.378
_cell_angle_alpha 90.00
_cell_angle_beta 90.00
_cell_angle_gamma 90.00
loop_
_atom_site_label
_atom_site_fract_x
_atom_site_fract_y
_atom_site_fract_z
Rb1 0.000 0.500 0.000
Ni1 0.000 0.000 0.000
Ge1 0.500 0.500 0.500
Br1 0.000 0.000 0.500
# DFT total energy = -2.648 eV/atom
# M_tot = 0.449 μB/atom

18.
# AcPaP2S8, relaxed, DFT PBE
data_AcPaP2S8
_space_group_name_H-M_alt 'P -3 m 1'
_space_group_IT_number 164
_space_group_name_Hall '-P 3 2"'
_cell_length_a 6.8844
_cell_length_b 6.8844
_cell_length_c 8.3384
_cell_angle_alpha 90.00
_cell_angle_beta 90.00
_cell_angle_gamma 120.00
loop_
_atom_site_label
_atom_site_fract_x
_atom_site_fract_y
_atom_site_fract_z
Ac1 0.0000 0.0000 0.0000
Pa1 0.0000 0.0000 0.5000
P1 0.3333 0.6667 0.2006
S1 0.1633 0.3265 0.2841
S2 0.3333 0.6667 0.9634
# DFT total energy = -5.559 eV/atom
# M_tot = 0.027 μB/atom

19.
# Nd3B9C2, relaxed, DFT PBE
data_Nd3B9C2
_space_group_name_H-M_alt 'I m m m'
_space_group_IT_number 71
_space_group_name_Hall '-I 2 2'
_cell_length_a 3.172
_cell_length_b 9.818
_cell_length_c 11.021
_cell_angle_alpha 90.00
_cell_angle_beta 90.00
_cell_angle_gamma 90.00
loop_
_atom_site_label
_atom_site_fract_x
_atom_site_fract_y
_atom_site_fract_z
Nd1 0.000 0.000 0.000
Nd2 0.000 0.000 0.321
B1 0.000 0.248 0.214
B2 0.000 0.290 0.367
B3 0.000 0.500 0.000
C1 0.000 0.281 0.500
# DFT total energy = -6.318 eV/atom
# M_tot = 0.000 μB/atom

20.
# CaTb2ThP4, relaxed, DFT PBE
data_CaTb2ThP4
_space_group_name_H-M_alt 'P 1 2/m 1'
_space_group_IT_number 10
_cell_length_a 7.052
_cell_length_b 4.104
_cell_length_c 7.096
_cell_angle_alpha 90.00
_cell_angle_beta 109.20
_cell_angle_gamma 90.00
loop_
_space_group_symop_operation_xyz
'x,y,z'
'-x,-y,-z'
'-x,y,-z'
'x,-y,z'
loop_
_atom_site_label
_atom_site_fract_x
_atom_site_fract_y
_atom_site_fract_z
Ca1 0.000 0.000 0.000
Tb1 0.000 0.500 0.500
Tb2 0.500 0.000 0.500
Th1 0.500 0.500 0.000
P1 0.250 0.000 0.745
P2 0.257 0.500 0.257
# DFT total energy = -6.525 eV/atom
# M_tot = 0.000 μB/atom